[1]
An optimized crystal structure of ScBe2TcHg. Source: Alexandria, functional GGA-PBEsol.

Cell lengths 4.241, 4.241, 5.111 Å; angles 90.00, 90.00, 90.00 degrees
Atoms (fractional coordinates):
Sc: 0.000 0.000 0.000
Be: 0.000 0.500 0.500
Be: 0.500 0.000 0.500
Tc: 0.500 0.500 0.000
Hg: 0.500 0.500 0.500

Results
SG: P4/mmm, No. 123
Formation energy in eV/atom: 0.99

[2]
An optimized crystal structure of LiSiPS2. Source: Alexandria, functional GGA-PBEsol.

Cell lengths 4.445, 4.445, 4.127 Å; angles 90.00, 90.00, 90.00 degrees
Atoms (fractional coordinates):
Li: 0.000 0.000 0.000
Si: 0.500 0.500 0.500
P: 0.000 0.000 0.500
S: 0.000 0.500 0.000
S: 0.500 0.000 0.000

Results
E_form (uncorrected) in meV/atom: 665
SG: P4/mmm, No. 123

[3]
An optimized crystal structure of K2GaP2H3O8F2. Source: Alexandria, functional GGA-PBEsol.

Cell lengths 4.734, 8.293, 10.812 Å; angles 90.00, 93.60, 90.00 degrees
Atoms (fractional coordinates):
K: 0.011 0.103 0.332
K: 0.011 0.397 0.832
K: 0.989 0.603 0.168
K: 0.989 0.897 0.668
Ga: 0.000 0.000 0.000
Ga: 0.000 0.500 0.500
P: 0.482 0.738 0.415
P: 0.482 0.762 0.915
P: 0.518 0.238 0.085
P: 0.518 0.262 0.585
H: 0.439 0.657 0.725
H: 0.439 0.843 0.225
H: 0.500 0.000 0.500
H: 0.500 0.500 0.000
H: 0.561 0.157 0.775
H: 0.561 0.343 0.275
O: 0.251 0.189 0.007
O: 0.251 0.311 0.507
O: 0.258 0.607 0.393
O: 0.258 0.893 0.893
O: 0.347 0.612 0.974
O: 0.347 0.888 0.474
O: 0.412 0.210 0.716
O: 0.412 0.290 0.216
O: 0.588 0.710 0.784
O: 0.588 0.790 0.284
O: 0.653 0.112 0.526
O: 0.653 0.388 0.026
O: 0.742 0.107 0.107
O: 0.742 0.393 0.607
O: 0.749 0.689 0.493
O: 0.749 0.811 0.993
F: 0.184 0.591 0.650
F: 0.184 0.909 0.150
F: 0.816 0.091 0.850
F: 0.816 0.409 0.350

Results
Electronic total energy in eV per atom: -6.14
SG: P2_1/c, No. 14

[4]
An optimized crystal structure of Al2FeBr. Source: Alexandria, functional GGA-PBEsol.

Cell lengths 6.295, 6.295, 6.295 Å; angles 90.00, 90.00, 90.00 degrees
Atoms (fractional coordinates):
Al: 0.000 0.000 0.000
Al: 0.000 0.500 0.500
Al: 0.250 0.250 0.250
Al: 0.250 0.750 0.750
Al: 0.500 0.000 0.500
Al: 0.500 0.500 0.000
Al: 0.750 0.250 0.750
Al: 0.750 0.750 0.250
Fe: 0.000 0.000 0.500
Fe: 0.000 0.500 0.000
Fe: 0.500 0.000 0.000
Fe: 0.500 0.500 0.500
Br: 0.250 0.250 0.750
Br: 0.250 0.750 0.250
Br: 0.750 0.250 0.250
Br: 0.750 0.750 0.750

Results
E_form (uncorrected) in meV/atom: 652
SG: F-43m, No. 216
Offset from the most stable computed form in eV/f.u.: 2.224

[5]
An optimized crystal structure of CaBi2W. Source: Alexandria, functional GGA-PBEsol.

Cell lengths 8.082, 8.082, 6.675 Å; angles 90.00, 90.00, 90.00 degrees
Atoms (fractional coordinates):
Ca: 0.000 0.000 0.000
Ca: 0.000 0.500 0.250
Ca: 0.500 0.000 0.750
Ca: 0.500 0.500 0.500
Bi: 0.209 0.750 0.625
Bi: 0.250 0.209 0.375
Bi: 0.250 0.291 0.875
Bi: 0.291 0.750 0.125
Bi: 0.709 0.250 0.125
Bi: 0.750 0.709 0.875
Bi: 0.750 0.791 0.375
Bi: 0.791 0.250 0.625
W: 0.000 0.000 0.500
W: 0.000 0.500 0.750
W: 0.500 0.000 0.250
W: 0.500 0.500 0.000

Results
SG: I-42d, No. 122
Formation energy in eV/atom: 0.56
Offset from the most stable computed form in eV/f.u.: 0.857

[6]
An optimized crystal structure of Ca2RhCl. Source: Alexandria, functional GGA-PBEsol.

Cell lengths 6.935, 6.935, 6.935 Å; angles 90.00, 90.00, 90.00 degrees
Atoms (fractional coordinates):
Ca: 0.000 0.000 0.000
Ca: 0.000 0.500 0.500
Ca: 0.250 0.250 0.250
Ca: 0.250 0.750 0.750
Ca: 0.500 0.000 0.500
Ca: 0.500 0.500 0.000
Ca: 0.750 0.250 0.750
Ca: 0.750 0.750 0.250
Rh: 0.000 0.000 0.500
Rh: 0.000 0.500 0.000
Rh: 0.500 0.000 0.000
Rh: 0.500 0.500 0.500
Cl: 0.250 0.250 0.750
Cl: 0.250 0.750 0.250
Cl: 0.750 0.250 0.250
Cl: 0.750 0.750 0.750

Results
E_form (uncorrected) in meV/atom: -161
SG: F-43m, No. 216
Offset from the most stable computed form in eV/f.u.: 3.463

[7]
An optimized crystal structure of YScHg2. Source: Alexandria, functional GGA-PBEsol.

Cell lengths 7.135, 7.135, 7.135 Å; angles 90.00, 90.00, 90.00 degrees
Atoms (fractional coordinates):
Y: 0.000 0.000 0.000
Y: 0.000 0.500 0.500
Y: 0.500 0.000 0.500
Y: 0.500 0.500 0.000
Sc: 0.000 0.000 0.500
Sc: 0.000 0.500 0.000
Sc: 0.500 0.000 0.000
Sc: 0.500 0.500 0.500
Hg: 0.250 0.250 0.250
Hg: 0.250 0.250 0.750
Hg: 0.250 0.750 0.250
Hg: 0.250 0.750 0.750
Hg: 0.750 0.250 0.250
Hg: 0.750 0.250 0.750
Hg: 0.750 0.750 0.250
Hg: 0.750 0.750 0.750

Results
SG: Fm-3m, No. 225
Formation energy in eV/atom: -0.56
Offset from the most stable computed form in eV/f.u.: 0.038

[8]
An optimized crystal structure of Sc2Si2Ir. Source: Alexandria, functional GGA-PBEsol.

Cell lengths 6.255, 6.255, 4.130 Å; angles 90.00, 90.00, 90.00 degrees
Atoms (fractional coordinates):
Sc: 0.173 0.327 0.000
Sc: 0.327 0.827 0.000
Sc: 0.673 0.173 0.000
Sc: 0.827 0.673 0.000
Si: 0.135 0.635 0.500
Si: 0.365 0.135 0.500
Si: 0.635 0.865 0.500
Si: 0.865 0.365 0.500
Ir: 0.000 0.000 0.500
Ir: 0.500 0.500 0.500

Results
E_form (uncorrected) in meV/atom: -1076
SG: P4/mbm, No. 127

[9]
An optimized crystal structure of SmBiRu2O7. Source: Alexandria, functional GGA-PBEsol.

Cell lengths 7.233, 7.233, 7.233 Å; angles 120.31, 119.71, 89.98 degrees
Atoms (fractional coordinates):
Sm: 0.000 0.000 0.000
Sm: 0.500 0.000 0.500
Bi: 0.500 0.000 0.000
Bi: 0.500 0.500 0.500
Ru: 0.000 0.000 0.500
Ru: 0.000 0.500 0.000
Ru: 0.000 0.500 0.500
Ru: 0.500 0.500 0.000
O: 0.082 0.425 0.254
O: 0.082 0.828 0.657
O: 0.082 0.832 0.250
O: 0.327 0.577 0.750
O: 0.329 0.172 0.754
O: 0.329 0.575 0.157
O: 0.372 0.122 0.250
O: 0.628 0.878 0.750
O: 0.671 0.425 0.843
O: 0.671 0.828 0.246
O: 0.673 0.423 0.250
O: 0.918 0.168 0.750
O: 0.918 0.172 0.343
O: 0.918 0.575 0.746

Results
E_form (uncorrected) in meV/atom: -1667
SG: Imma, No. 74

[10]
An optimized crystal structure of Sr3Al. Source: Alexandria, functional GGA-PBEsol.

Cell lengths 7.647, 7.647, 5.813 Å; angles 90.00, 90.00, 120.00 degrees
Atoms (fractional coordinates):
Sr: 0.177 0.354 0.250
Sr: 0.177 0.823 0.250
Sr: 0.354 0.177 0.750
Sr: 0.646 0.823 0.250
Sr: 0.823 0.177 0.750
Sr: 0.823 0.646 0.750
Al: 0.333 0.667 0.750
Al: 0.667 0.333 0.250

Results
SG: P6_3/mmc, No. 194
Formation energy in eV/atom: 0.01

[11]
An optimized crystal structure of AlCrAu. Source: Alexandria, functional GGA-PBEsol.

Cell lengths 2.699, 2.699, 11.698 Å; angles 90.00, 90.00, 90.00 degrees
Atoms (fractional coordinates):
Al: 0.000 0.000 0.000
Al: 0.500 0.500 0.500
Cr: 0.000 0.000 0.651
Cr: 0.500 0.500 0.151
Au: 0.000 0.000 0.320
Au: 0.500 0.500 0.820

Results
SG: I4mm, No. 107
Formation energy in eV/atom: 0.05

[12]
An optimized crystal structure of NbPtSN2. Source: Alexandria, functional GGA-PBEsol.

Cell lengths 3.888, 3.888, 5.181 Å; angles 90.00, 90.00, 90.00 degrees
Atoms (fractional coordinates):
Nb: 0.000 0.000 0.000
Pt: 0.500 0.500 0.500
S: 0.000 0.000 0.500
N: 0.000 0.500 0.000
N: 0.500 0.000 0.000

Results
E_form (uncorrected) in meV/atom: 717
SG: P4/mmm, No. 123